No. 1
12
Lattice="5.7062 0.0000 0.0000 0.0000 9.9369 0.0000 0.0000 0.0000 7.0798" Properties=species:S:1:pos:R:3 comment="LaPr2DyTm2 PBE-GGA relaxed" ef_kj_per_mol_atoms=6.4 pbc="T T T"
Tm 0.0000 3.3158 5.3060
La 2.8531 4.9685 3.5399
Pr 2.8531 8.2775 1.7984
Dy 0.0000 0.0000 3.5399
Tm 2.8531 1.6527 1.7661
Tm 2.8531 8.2842 5.3136
Pr 0.0000 6.6278 5.3383
Tm 0.0000 6.6211 1.7738
La 0.0000 0.0000 0.0000
Dy 2.8531 4.9685 0.0000
Pr 2.8531 1.6594 5.2814
Pr 0.0000 3.3091 1.7415

=====

No. 2
18
Lattice="-7.0583 -0.6818 -4.8673 1.3635 -8.4550 -0.7929 -1.9978 3.1089 10.0608" Properties=species:S:1:pos:R:3 comment="La5Pr2DyTm PBE-GGA relaxed" ef_kj_per_mol_atoms=25.2 pbc="T T T"
Pr -1.4524 -7.6514 -2.5176
Pr -4.2425 -1.4853 -3.1426
La 0.0000 0.0000 0.0000
La -3.0466 -2.4953 0.5585
Tm -1.7409 -4.9572 3.2189
Dy -2.4226 -0.7297 3.6153
Dy -5.2700 -5.2981 0.7852
La -4.6460 -3.5325 3.8420
Pr -5.3216 -5.8829 -4.7534
La -5.4403 -7.4824 -2.0521
La -1.9846 -6.6861 0.4243
Pr -0.3732 -3.2538 -0.9068
La -6.5023 -3.2917 -1.9178
La -5.7080 0.6582 3.9763
La -2.2523 1.4546 6.4526
La -1.1903 -2.7361 6.3184
La -2.8474 -4.5684 -2.8301
Tm -5.9517 -1.0706 1.1817

=====

No. 3
7
Lattice="-2.7124 -0.3331 -4.3768 1.9520 -5.5643 2.2554 -6.8871 0.5201 4.2284" Properties=species:S:1:pos:R:3 comment="La2Pr2DyTm2 PBE-GGA relaxed" ef_kj_per_mol_atoms=2.7 pbc="T T T"
Dy 0.0000 0.0000 0.0000
Pr -6.2472 -0.6048 0.8760
La -2.7744 -1.4278 1.8280
Tm -5.6017 -2.8063 3.6851
La -4.8730 -3.9495 0.2790
Pr -1.4003 -4.7725 1.2310
Tm -2.0457 -2.5710 -1.5781